Record 1
CsYLuTe3 | PBE-GGA | optimized geometry

The value obtained for the relative energy among the computed polymorphs is 43 meV/atom. Its total magnetization is 2.08 μB/cell.

The space group is Cmcm (No. 63) and the conventional cell measures 4.649, 17.624 and 11.763 Å, with angles of 90.00, 90.00 and 90.00 degrees. The inequivalent atoms are Cs at (0.000, 0.245, 0.250), Y at (0.000, 0.035, 0.750), Lu at (0.000, 0.500, 0.000), Te at (0.000, 0.118, 0.536) and Te at (0.000, 0.434, 0.750).

Record 2
ScCd2Cu | PBE-GGA | optimized geometry

The formation energy is -171 meV per atom. Its total magnetization is 0.01 μB/cell.

The space group is F-43m (No. 216) and the conventional cell measures 6.626, 6.626 and 6.626 Å, with angles of 90.00, 90.00 and 90.00 degrees. The inequivalent atoms are Sc at (0.000, 0.000, 0.000), Cd at (0.000, 0.000, 0.500), Cd at (0.250, 0.250, 0.750) and Cu at (0.250, 0.250, 0.250).

Record 3
DyReB | PBE-GGA | optimized geometry

The value obtained for the relative energy among the computed polymorphs is 570 meV/atom. Its total magnetization is 1.12 μB/cell.

The space group is F-43m (No. 216) and the conventional cell measures 5.818, 5.818 and 5.818 Å, with angles of 90.00, 90.00 and 90.00 degrees. The inequivalent atoms are Dy at (0.000, 0.000, 0.000), Re at (0.000, 0.000, 0.500) and B at (0.250, 0.250, 0.250).

Record 4
RbFeW | PBE-GGA | optimized geometry

The value obtained for the relative energy among the computed polymorphs is 898 meV/atom. Its total magnetization is 29.37 μB/cell.

The space group is F-43m (No. 216) and the conventional cell measures 7.184, 7.184 and 7.184 Å, with angles of 90.00, 90.00 and 90.00 degrees. The inequivalent atoms are Rb at (0.000, 0.000, 0.000), Fe at (0.250, 0.250, 0.750) and W at (0.250, 0.250, 0.250).

Record 5
BaPmNO | PBE-GGA | optimized geometry

The value obtained for the relative energy among the computed polymorphs is 52 meV/atom. Its total magnetization is 0.00 μB/cell.

The space group is Pmc2_1 (No. 26) and the conventional cell measures 4.119, 7.242 and 6.145 Å, with angles of 90.00, 90.00 and 90.00 degrees. The inequivalent atoms are Ba at (0.000, 0.176, 0.000), Pm at (0.500, 0.341, 0.504), N at (0.500, 0.365, 0.873) and O at (0.000, 0.194, 0.439).

Record 6
OsC2Br | PBE-GGA | optimized geometry

Its total magnetization is 0.03 μB/cell.

The space group is P222_1 (No. 17) and the conventional cell measures 4.284, 5.439 and 5.008 Å, with angles of 90.00, 90.00 and 90.00 degrees. The inequivalent atoms are Os at (0.000, 0.132, 0.250), C at (0.370, 0.000, 0.500), C at (0.500, 0.019, 0.250) and Br at (0.223, 0.500, 0.000).

What total DFT energy (no corrections) values result from the calculations? In sequence: -113.7; -50.1; -90.4; -48.5; -54.6; -54.8 eV for the cell shown.